1.
Density functional theory data (PBE) for PIrAu3 after structural relaxation.

Properties
Energy above the lowest structure with this stoichiometry, eV per formula unit: 2.98
DOS at the Fermi energy, states/eV/f.u.: 5.976
E, eV per atom: -3.348
Energy relative to the elements, kJ per mole of atoms: 142
Volume, A^3/atom: 25.1
Size of the total moment, μB/f.u.: 1.07
ρ, g cm⁻³: 10.8

The structure in POSCAR format:
```
PIrAu3
1.0
5.0048 0.0000 0.0000
0.0000 5.0048 0.0000
0.0000 0.0000 5.0048
P Ir Au
1 1 3
Direct
0.0000 0.0000 0.0000
0.5000 0.5000 0.5000
0.0000 0.5000 0.5000
0.5000 0.0000 0.5000
0.5000 0.5000 0.0000
```

=====

2.
Density functional theory data (PBE) for Al2SbSCl after structural relaxation.

Properties
Raw formation energy, eV/atom: 0.586
DOS at the Fermi energy, states/eV/f.u.: 2.456
E, eV per atom: -2.931
Volume, A^3/atom: 24.1
Size of the total moment, μB/f.u.: 0.00
ρ, g cm⁻³: 3.4

The structure in POSCAR format:
```
Al2SbSCl
1.0
4.9596 0.0000 0.0000
0.0000 4.9596 0.0000
0.0000 0.0000 4.8887
Al Sb S Cl
2 1 1 1
Direct
0.0000 0.5000 0.0000
0.5000 0.0000 0.0000
0.0000 0.0000 0.5000
0.5000 0.5000 0.5000
0.5000 0.5000 0.0000
```

=====

3.
Density functional theory data (PBE) for La12ErMg3 after structural relaxation.

Properties
DOS at the Fermi energy, states/eV/f.u.: 24.863
E, eV per atom: -4.295
Energy relative to the elements, kJ per mole of atoms: -2
Volume, A^3/atom: 34.0
Size of the total moment, μB/f.u.: 0.00
ρ, g cm⁻³: 5.8

The structure in POSCAR format:
```
La12ErMg3
1.0
5.1369 0.0000 0.0000
0.0000 5.1369 0.0000
0.0000 0.0000 20.6258
La Er Mg
12 1 3
Direct
0.0000 0.0000 0.0000
0.0000 0.0000 0.2489
0.0000 0.0000 0.5000
0.0000 0.0000 0.7511
0.0000 0.5000 0.1240
0.0000 0.5000 0.3732
0.0000 0.5000 0.6268
0.0000 0.5000 0.8760
0.5000 0.0000 0.1240
0.5000 0.0000 0.3732
0.5000 0.0000 0.6268
0.5000 0.0000 0.8760
0.5000 0.5000 0.5000
0.5000 0.5000 0.0000
0.5000 0.5000 0.2472
0.5000 0.5000 0.7528
```

=====

4.
Density functional theory data (PBE) for Ca2ZrZn after structural relaxation.

Properties
DOS at the Fermi energy, states/eV/f.u.: 5.274
E, eV per atom: -3.068
Energy relative to the elements, kJ per mole of atoms: 38
Volume, A^3/atom: 27.9
Size of the total moment, μB/f.u.: 0.00
ρ, g cm⁻³: 3.5

The structure in POSCAR format:
```
Ca2ZrZn
1.0
3.3535 0.0000 0.0000
-1.6767 2.9042 0.0000
0.0000 0.0000 34.3206
Ca Zr Zn
6 3 3
Direct
0.0000 0.0000 0.0954
0.0000 0.0000 0.9046
0.3333 0.6667 0.5712
0.3333 0.6667 0.7621
0.6667 0.3333 0.2379
0.6667 0.3333 0.4288
0.0000 0.0000 0.0000
0.3333 0.6667 0.6667
0.6667 0.3333 0.3333
0.0000 0.0000 0.5000
0.3333 0.6667 0.1667
0.6667 0.3333 0.8333
```

=====

5.
Density functional theory data (PBE) for Sr3Ac2NdTe6 after structural relaxation.

Properties
Raw formation energy, eV/atom: -1.579
DOS at the Fermi energy, states/eV/f.u.: 5.180
E, eV per atom: -4.652
Volume, A^3/atom: 36.5
Size of the total moment, μB/f.u.: 0.00
ρ, g cm⁻³: 6.2

The structure in POSCAR format:
```
Sr3Ac2NdTe6
1.0
10.2870 -2.3302 0.0000
10.2870 2.3302 0.0000
-2.3828 0.0000 9.1416
Sr Ac Nd Te
3 2 1 6
Direct
0.0000 0.0000 0.0000
0.3322 0.3322 0.6666
0.6678 0.6678 0.3334
0.3368 0.3368 0.1738
0.6632 0.6632 0.8262
0.0000 0.0000 0.5000
0.1638 0.1638 0.5760
0.1670 0.1670 0.0838
0.4972 0.4972 0.7418
0.5028 0.5028 0.2582
0.8330 0.8330 0.9162
0.8362 0.8362 0.4240
```

=====

6.
Density functional theory data (PBE) for MnZn2Ag after structural relaxation.

Properties
DOS at the Fermi energy, states/eV/f.u.: 3.130
E, eV per atom: -3.297
Energy relative to the elements, kJ per mole of atoms: 33
Volume, A^3/atom: 16.9
Size of the total moment, μB/f.u.: 3.46
ρ, g cm⁻³: 7.2

The structure in POSCAR format:
```
MnZn2Ag
1.0
7.0526 0.0000 0.0000
0.0000 7.0526 0.0000
0.0000 0.0000 5.4207
Mn Zn Ag
4 8 4
Direct
0.0000 0.0000 0.0000
0.0000 0.5000 0.2500
0.5000 0.0000 0.7500
0.5000 0.5000 0.5000
0.2448 0.2500 0.1250
0.2500 0.7448 0.3750
0.2500 0.7552 0.8750
0.2552 0.2500 0.6250
0.7448 0.7500 0.6250
0.7500 0.2448 0.8750
0.7500 0.2552 0.3750
0.7552 0.7500 0.1250
0.0000 0.0000 0.5000
0.0000 0.5000 0.7500
0.5000 0.0000 0.2500
0.5000 0.5000 0.0000
```

=====

7.
Density functional theory data (PBE) for Sr3NbAs4 after structural relaxation.

Properties
E, eV per atom: -5.120
Energy relative to the elements, kJ per mole of atoms: -87
Volume, A^3/atom: 28.6
Size of the total moment, μB/f.u.: 0.00
ρ, g cm⁻³: 4.8

The structure in POSCAR format:
```
Sr3NbAs4
1.0
8.9001 0.0000 0.0000
0.0000 10.6401 0.0000
0.0000 0.0000 9.6777
Sr Nb As
12 4 16
Direct
0.0587 0.0508 0.1930
0.0587 0.4492 0.1930
0.1333 0.7500 0.4189
0.3667 0.2500 0.9189
0.4413 0.5508 0.6930
0.4413 0.9492 0.6930
0.5587 0.0508 0.3070
0.5587 0.4492 0.3070
0.6333 0.7500 0.0811
0.8667 0.2500 0.5811
0.9413 0.5508 0.8070
0.9413 0.9492 0.8070
0.2365 0.7500 0.9783
0.2635 0.2500 0.4783
0.7365 0.7500 0.5217
0.7635 0.2500 0.0217
0.0108 0.2500 0.9024
0.1426 0.0389 0.5187
0.1426 0.4611 0.5187
0.1859 0.7500 0.7319
0.3141 0.2500 0.2319
0.3574 0.5389 0.0187
0.3574 0.9611 0.0187
0.4892 0.7500 0.4024
0.5108 0.2500 0.5976
0.6426 0.0389 0.9813
0.6426 0.4611 0.9813
0.6859 0.7500 0.7681
0.8141 0.2500 0.2681
0.8574 0.5389 0.4813
0.8574 0.9611 0.4813
0.9892 0.7500 0.0976
```

=====

8.
Density functional theory data (PBE) for SrHgP4 after structural relaxation.

Properties
DOS at the Fermi energy, states/eV/f.u.: 3.139
E, eV per atom: -4.000
Energy relative to the elements, kJ per mole of atoms: -6
Volume, A^3/atom: 21.8
Size of the total moment, μB/f.u.: 0.00
ρ, g cm⁻³: 5.2

The structure in POSCAR format:
```
SrHgP4
1.0
0.0000 4.0312 4.0312
4.0312 0.0000 4.0312
4.0312 4.0312 0.0000
Sr Hg P
1 1 4
Direct
0.0000 0.0000 0.0000
0.7500 0.7500 0.7500
0.3970 0.3970 0.3970
0.3970 0.3970 0.8090
0.3970 0.8090 0.3970
0.8090 0.3970 0.3970
```

=====

9.
Density functional theory data (PBE) for BaMg2Sb2 after structural relaxation.

Properties
Raw formation energy, eV/atom: -0.684
E, eV per atom: -3.356
Volume, A^3/atom: 32.5
Size of the total moment, μB/f.u.: 0.00
ρ, g cm⁻³: 4.4

The structure in POSCAR format:
```
BaMg2Sb2
1.0
5.8286 -4.2866 0.0000
5.8286 4.2866 0.0000
-5.0508 0.0000 6.5079
Ba Mg Sb
2 4 4
Direct
0.0675 0.9325 0.7500
0.9325 0.0675 0.2500
0.2646 0.4892 0.0084
0.4892 0.2646 0.5084
0.5108 0.7354 0.4916
0.7354 0.5108 0.9916
0.1459 0.5073 0.3086
0.4927 0.8541 0.1914
0.5073 0.1459 0.8086
0.8541 0.4927 0.6914
```

=====

10.
Density functional theory data (PBE) for Rb2HfIr3O12 after structural relaxation.

Properties
Raw formation energy, eV/atom: -1.298
DOS at the Fermi energy, states/eV/f.u.: 7.685
E, eV per atom: -6.741
Volume, A^3/atom: 15.6
Size of the total moment, μB/f.u.: 5.04
ρ, g cm⁻³: 6.6

The structure in POSCAR format:
```
Rb2HfIr3O12
1.0
3.6308 2.0962 6.1503
-3.6308 2.0962 6.1503
0.0000 -4.1925 6.1503
Rb Hf Ir O
2 1 3 12
Direct
0.1184 0.1184 0.1184
0.8816 0.8816 0.8816
0.5000 0.5000 0.5000
0.0000 0.5000 0.5000
0.5000 0.0000 0.5000
0.5000 0.5000 0.0000
0.1690 0.5671 0.5671
0.1831 0.1831 0.5778
0.1831 0.5778 0.1831
0.4222 0.8169 0.8169
0.4329 0.4329 0.8310
0.4329 0.8310 0.4329
0.5671 0.1690 0.5671
0.5671 0.5671 0.1690
0.5778 0.1831 0.1831
0.8169 0.4222 0.8169
0.8169 0.8169 0.4222
0.8310 0.4329 0.4329
```

=====

11.
Density functional theory data (PBE) for PaTeHS after structural relaxation.

Properties
E, eV per atom: -6.072
Volume, A^3/atom: 23.9
Size of the total moment, μB/f.u.: 0.00
ρ, g cm⁻³: 6.8

The structure in POSCAR format:
```
PaTeHS
1.0
6.7927 0.0000 0.0000
0.0000 3.9214 0.0000
-2.2751 0.0000 7.1671
Pa Te H S
2 2 2 2
Direct
0.0000 0.0000 0.0000
0.5000 0.5000 0.0000
0.2643 0.5000 0.2913
0.7643 0.0000 0.2913
0.3403 0.0000 0.0210
0.8403 0.5000 0.0210
0.0953 0.5000 0.7868
0.5953 0.0000 0.7868
```

=====

- What is the size of the total moment in the eighth record?
  0.00 μB/f.u.